<1>
First-principles (PBEsol) data for a geometry-optimized TcRh2Au structure, as listed in the Alexandria database.

Unit cell a=2.7187 b=2.7187 c=26.9834 alpha=90.00 beta=90.00 gamma=120.00
Space group R3m (No. 160, hexagonal axes)
Symmetry-distinct sites (fractional):
Tc: 0.0000 0.0000 0.0000 (multiplicity 3)
Rh: 0.0000 0.0000 0.4916 (multiplicity 3)
Rh: 0.0000 0.0000 0.7432 (multiplicity 3)
Au: 0.0000 0.0000 0.2452 (multiplicity 3)

Values from the calculation:
**Crystal system**: trigonal
**V**: 14.394 Å³ per atom
**Size of the total moment**: 0.0 μB per formula unit

***

<2>
First-principles (PBEsol) data for a geometry-optimized TcRh2Au structure, as listed in the Alexandria database.

Unit cell a=5.493 b=7.616 c=2.738 alpha=90.00 beta=90.00 gamma=90.00
Space group Cmmm (No. 65)
Symmetry-distinct sites (fractional):
Tc: 0.000 0.000 0.000 (multiplicity 2)
Rh: 0.250 0.250 0.500 (multiplicity 4)
Au: 0.000 0.500 0.000 (multiplicity 2)

Values from the calculation:
**Crystal system**: orthorhombic
**V**: 14.316 Å³ per atom
**Size of the total moment**: 0.0 μB per formula unit

***

Which one sits at the top of the stability order? <1> does.

***

<1>
First-principles (PBEsol) data for a geometry-optimized Tc2RhAu structure, as listed in the Alexandria database.

Unit cell a=3.877 b=3.887 c=7.634 alpha=90.00 beta=90.00 gamma=90.00
Space group Imm2 (No. 44)
Symmetry-distinct sites (fractional):
Tc: 0.000 0.000 0.000 (multiplicity 2)
Tc: 0.000 0.500 0.252 (multiplicity 2)
Rh: 0.000 0.000 0.501 (multiplicity 2)
Au: 0.000 0.500 0.751 (multiplicity 2)

Values from the calculation:
**Crystal system**: orthorhombic
**V**: 14.379 Å³ per atom
**Size of the total moment**: 0.0 μB per formula unit

***

<2>
First-principles (PBEsol) data for a geometry-optimized Tc2RhAu structure, as listed in the Alexandria database.

Unit cell a=6.182 b=6.182 c=6.182 alpha=90.00 beta=90.00 gamma=90.00
Space group Fm-3m (No. 225)
Symmetry-distinct sites (fractional):
Tc: 0.250 0.250 0.250 (multiplicity 8)
Rh: 0.000 0.000 0.000 (multiplicity 4)
Au: 0.000 0.000 0.500 (multiplicity 4)

Values from the calculation:
**Crystal system**: cubic
**V**: 14.768 Å³ per atom
**Size of the total moment**: 0.9 μB per formula unit

***

Which one sits at the top of the stability order? <1> does.

***

<1>
First-principles (PBEsol) data for a geometry-optimized Te2RhAu structure, as listed in the Alexandria database.

Unit cell a=4.752 b=4.752 c=3.517 alpha=90.00 beta=90.00 gamma=90.00
Space group P4/mmm (No. 123)
Symmetry-distinct sites (fractional):
Te: 0.000 0.500 0.000 (multiplicity 2)
Rh: 0.000 0.000 0.500 (multiplicity 1)
Au: 0.500 0.500 0.500 (multiplicity 1)

Values from the calculation:
**Crystal system**: tetragonal
**V**: 19.853 Å³ per atom
**Size of the total moment**: 0.0 μB per formula unit

***

<2>
First-principles (PBEsol) data for a geometry-optimized Te2RhAu structure, as listed in the Alexandria database.

Unit cell a=4.824 b=5.114 c=7.384 alpha=90.00 beta=90.00 gamma=90.00
Space group Amm2 (No. 38)
Symmetry-distinct sites (fractional):
Te: 0.000 0.000 0.000 (multiplicity 2)
Te: 0.500 0.000 0.460 (multiplicity 2)
Rh: 0.500 0.000 0.834 (multiplicity 2)
Au: 0.000 0.000 0.633 (multiplicity 2)

Values from the calculation:
**Crystal system**: orthorhombic
**V**: 22.770 Å³ per atom
**Size of the total moment**: 0.0 μB per formula unit

***

Which one sits at the top of the stability order? <2> does.

***

<1>
First-principles (PBEsol) data for a geometry-optimized TlRhAu2 structure, as listed in the Alexandria database.

Unit cell a=2.9271 b=2.9271 c=29.1446 alpha=90.00 beta=90.00 gamma=120.00
Space group R-3m (No. 166, hexagonal axes)
Symmetry-distinct sites (fractional):
Tl: 0.0000 0.0000 0.0000 (multiplicity 3)
Rh: 0.0000 0.0000 0.5000 (multiplicity 3)
Au: 0.0000 0.0000 0.2419 (multiplicity 6)

Values from the calculation:
**Crystal system**: trigonal
**V**: 18.021 Å³ per atom
**Size of the total moment**: 0.4 μB per formula unit

***

<2>
First-principles (PBEsol) data for a geometry-optimized TlRhAu2 structure, as listed in the Alexandria database.

Unit cell a=3.985 b=3.985 c=4.313 alpha=90.00 beta=90.00 gamma=90.00
Space group P4/mmm (No. 123)
Symmetry-distinct sites (fractional):
Tl: 0.000 0.000 0.000 (multiplicity 1)
Rh: 0.500 0.500 0.000 (multiplicity 1)
Au: 0.000 0.500 0.500 (multiplicity 2)

Values from the calculation:
**Crystal system**: tetragonal
**V**: 17.125 Å³ per atom
**Size of the total moment**: 0.0 μB per formula unit

***

Which one sits at the top of the stability order? <2> does.

***

<1>
First-principles (PBEsol) data for a geometry-optimized RhWAu structure, as listed in the Alexandria database.

Unit cell a=3.304 b=3.304 c=8.399 alpha=90.00 beta=90.00 gamma=90.00
Space group I4mm (No. 107)
Symmetry-distinct sites (fractional):
Rh: 0.000 0.000 0.000 (multiplicity 2)
W: 0.000 0.000 0.651 (multiplicity 2)
Au: 0.000 0.000 0.328 (multiplicity 2)

Values from the calculation:
**Crystal system**: tetragonal
**V**: 15.282 Å³ per atom
**Size of the total moment**: 0.0 μB per formula unit

***

<2>
First-principles (PBEsol) data for a geometry-optimized RhWAu structure, as listed in the Alexandria database.

Unit cell a=4.3930 b=4.3930 c=2.7644 alpha=90.00 beta=90.00 gamma=120.00
Space group P3m1 (No. 156)
Symmetry-distinct sites (fractional):
Rh: 0.0000 0.0000 0.0000 (multiplicity 1)
W: 0.6667 0.3333 0.0862 (multiplicity 1)
Au: 0.3333 0.6667 0.5578 (multiplicity 1)

Values from the calculation:
**Crystal system**: trigonal
**V**: 15.400 Å³ per atom
**Size of the total moment**: 0.0 μB per formula unit

***

Which one sits at the top of the stability order? <1> does.

***

<1>
First-principles (PBEsol) data for a geometry-optimized RuAu structure, as listed in the Alexandria database.

Unit cell a=5.230 b=5.230 c=5.230 alpha=90.00 beta=90.00 gamma=90.00
Space group Fm-3m (No. 225)
Symmetry-distinct sites (fractional):
Ru: 0.000 0.000 0.000 (multiplicity 4)
Au: 0.000 0.000 0.500 (multiplicity 4)

Values from the calculation:
**Crystal system**: cubic
**V**: 17.886 Å³ per atom
**Size of the total moment**: 1.8 μB per formula unit

***

<2>
First-principles (PBEsol) data for a geometry-optimized RuAu structure, as listed in the Alexandria database.

Unit cell a=2.758 b=2.758 c=7.976 alpha=90.00 beta=90.00 gamma=90.00
Space group P4/nmm (No. 129, origin choice 2)
Symmetry-distinct sites (fractional):
Ru: 0.250 0.250 0.101 (multiplicity 2)
Au: 0.250 0.250 0.638 (multiplicity 2)

Values from the calculation:
**Crystal system**: tetragonal
**V**: 15.166 Å³ per atom
**Size of the total moment**: 0.0 μB per formula unit

***

<3>
First-principles (PBEsol) data for a geometry-optimized RuAu structure, as listed in the Alexandria database.

Unit cell a=2.735 b=4.480 c=4.911 alpha=90.00 beta=90.00 gamma=90.00
Space group Pmmn (No. 59, origin choice 2)
Symmetry-distinct sites (fractional):
Ru: 0.250 0.250 0.077 (multiplicity 2)
Au: 0.250 0.750 0.407 (multiplicity 2)

Values from the calculation:
**Crystal system**: orthorhombic
**V**: 15.048 Å³ per atom
**Size of the total moment**: 0.0 μB per formula unit

***

Which one sits at the top of the stability order? <2> does.

***

<1>
First-principles (PBEsol) data for a geometry-optimized RuAu structure, as listed in the Alexandria database.

Unit cell a=9.109 b=2.781 c=4.825 alpha=90.00 beta=100.12 gamma=90.00
Space group C2/m (No. 12)
Symmetry-distinct sites (fractional):
Ru: 0.132 0.000 0.403 (multiplicity 4)
Au: 0.122 0.500 0.880 (multiplicity 4)

Values from the calculation:
**Crystal system**: monoclinic
**V**: 15.042 Å³ per atom
**Size of the total moment**: 0.0 μB per formula unit

***

<2>
First-principles (PBEsol) data for a geometry-optimized RuAu structure, as listed in the Alexandria database.

Unit cell a=2.754 b=4.701 c=9.526 alpha=90.00 beta=90.00 gamma=90.00
Space group Imma (No. 74)
Symmetry-distinct sites (fractional):
Ru: 0.000 0.250 0.142 (multiplicity 4)
Au: 0.000 0.250 0.616 (multiplicity 4)

Values from the calculation:
**Crystal system**: orthorhombic
**V**: 15.419 Å³ per atom
**Size of the total moment**: 0.0 μB per formula unit

***

Which one sits at the top of the stability order? <1> does.

***

<1>
First-principles (PBEsol) data for a geometry-optimized Ru2Au structure, as listed in the Alexandria database.

Unit cell a=4.3670 b=4.3670 c=2.6750 alpha=90.00 beta=90.00 gamma=120.00
Space group P6/mmm (No. 191)
Symmetry-distinct sites (fractional):
Ru: 0.3333 0.6667 0.0000 (multiplicity 2)
Au: 0.0000 0.0000 0.5000 (multiplicity 1)

Values from the calculation:
**Crystal system**: hexagonal
**V**: 14.726 Å³ per atom
**Size of the total moment**: 0.0 μB per formula unit

***

<2>
First-principles (PBEsol) data for a geometry-optimized Ru2Au structure, as listed in the Alexandria database.

Unit cell a=2.743 b=2.743 c=11.633 alpha=90.00 beta=90.00 gamma=90.00
Space group I4/mmm (No. 139)
Symmetry-distinct sites (fractional):
Ru: 0.000 0.000 0.180 (multiplicity 4)
Au: 0.000 0.000 0.500 (multiplicity 2)

Values from the calculation:
**Crystal system**: tetragonal
**V**: 14.585 Å³ per atom
**Size of the total moment**: 0.0 μB per formula unit

***

Which one sits at the top of the stability order? <2> does.